Material: MnCo2BiO8
Method: DFT, GGA+U
State: optimized geometry

a b c (Å): 6.8810 6.8810 6.3233
angles (deg): 90.00 90.00 90.00
With the nearest neighbours (Å) after each atom.
Space group I-4m2 (No. 119)
Symmetry-distinct sites (fractional):
Mn: 0.0000 0.0000 0.0000  8 O 2.19-2.27
Co: 0.0000 0.0000 0.5000  4 O 1.72
Co: 0.0000 0.5000 0.7500  4 O 1.74
Bi: 0.0000 0.5000 0.2500  8 O 2.27-2.36
O: 0.0000 0.1738 0.3054  1 Co 1.72
O: 0.0000 0.3137 0.9368  1 Co 1.74

- E_tot (eV for the cell shown) = -135.070